No. 1
# VCr2F6 | the Alexandria database | GGA+U | optimized geometry
data_VCr2F6
_chemical_formula_sum 'V2 Cr4 F12'
_cell_length_a 5.574
_cell_length_b 4.797
_cell_length_c 10.607
_cell_angle_alpha 90.00
_cell_angle_beta 116.99
_cell_angle_gamma 90.00
_symmetry_space_group_name_H-M 'P 1 21/c 1'
_symmetry_Int_Tables_number 14
loop_
_symmetry_equiv_pos_as_xyz
'x,y,z'
'-x,-y,-z'
'-x,y+1/2,-z+1/2'
'x,-y+1/2,z+1/2'
loop_
_atom_site_label
_atom_site_fract_x
_atom_site_fract_y
_atom_site_fract_z
V1 0.000 0.000 0.000
Cr1 0.319 0.034 0.817
F1 0.022 0.247 0.840
F2 0.306 0.704 0.473
F3 0.347 0.189 0.175
# - E_tot: -6.290 eV/atom
# - Magnetic moment: 22.000 Bohr magnetons per cell



No. 2
# VCr2F2 | the Alexandria database | GGA+U | optimized geometry
data_VCr2F2
_chemical_formula_sum 'V2 Cr4 F4'
_cell_length_a 5.848
_cell_length_b 5.848
_cell_length_c 5.070
_cell_angle_alpha 90.00
_cell_angle_beta 90.00
_cell_angle_gamma 90.00
_symmetry_space_group_name_H-M 'P 4/m b m'
_symmetry_Int_Tables_number 127
_symmetry_space_group_name_Hall '-P 4 2ab'
loop_
_atom_site_label
_atom_site_fract_x
_atom_site_fract_y
_atom_site_fract_z
V1 0.000 0.000 0.000
Cr1 0.190 0.310 0.500
F1 0.199 0.301 0.000
# - E_tot: -6.008 eV/atom
# - Magnetic moment: 26.090 Bohr magnetons per cell



No. 3
# V2CrF8 | the Alexandria database | GGA+U | optimized geometry
data_V2CrF8
_chemical_formula_sum 'V4 Cr2 F16'
_cell_length_a 10.493
_cell_length_b 6.765
_cell_length_c 4.196
_cell_angle_alpha 90.00
_cell_angle_beta 90.03
_cell_angle_gamma 90.00
_symmetry_space_group_name_H-M 'C 1 2/m 1'
_symmetry_Int_Tables_number 12
loop_
_symmetry_equiv_pos_as_xyz
'x,y,z'
'-x,-y,-z'
'-x,y,-z'
'x,-y,z'
'x+1/2,y+1/2,z'
'-x+1/2,-y+1/2,-z'
'-x+1/2,y+1/2,-z'
'x+1/2,-y+1/2,z'
loop_
_atom_site_label
_atom_site_fract_x
_atom_site_fract_y
_atom_site_fract_z
V1 0.119 0.000 0.246
Cr1 0.000 0.500 0.000
F1 0.085 0.000 0.748
F2 0.092 0.282 0.247
F3 0.205 0.500 0.762
# - E_tot: -6.100 eV/atom
# - Magnetic moment: 16.000 Bohr magnetons per cell



Question: Look up the magnetic moment of the second one.
Answer: 26.090 Bohr magnetons per cell



Please write out number 2 again, unchanged.
# VCr2F2 | the Alexandria database | GGA+U | optimized geometry
data_VCr2F2
_chemical_formula_sum 'V2 Cr4 F4'
_cell_length_a 5.848
_cell_length_b 5.848
_cell_length_c 5.070
_cell_angle_alpha 90.00
_cell_angle_beta 90.00
_cell_angle_gamma 90.00
_symmetry_space_group_name_H-M 'P 4/m b m'
_symmetry_Int_Tables_number 127
_symmetry_space_group_name_Hall '-P 4 2ab'
loop_
_atom_site_label
_atom_site_fract_x
_atom_site_fract_y
_atom_site_fract_z
V1 0.000 0.000 0.000
Cr1 0.190 0.310 0.500
F1 0.199 0.301 0.000
# - E_tot: -6.008 eV/atom
# - Magnetic moment: 26.090 Bohr magnetons per cell